Density functional theory data (PBE-GGA) for crystalline HfIn2Ge2 at its relaxed geometry.

Properties
Spin magnetization (μB per atom): 0.000
Raw total energy (eV/atom): -4.9003

Cell and atoms, written as POSCAR:
```
HfIn2Ge2
1.0
7.230 0.000 0.000
0.000 7.230 0.000
0.000 0.000 4.117
Ge Hf In
4 2 4
Direct
0.363 0.863 0.000
0.137 0.363 0.000
0.637 0.137 0.000
0.863 0.637 0.000
0.500 0.500 0.000
0.000 0.000 0.000
0.829 0.329 0.500
0.329 0.171 0.500
0.671 0.829 0.500
0.171 0.671 0.500
```